Computed, not measured: a relaxed structure of KMnInO3 at the PBE with a Hubbard U level of DFT.

Lattice parameters (Å, degrees): 3.2919 7.2209 9.5982 97.62 90.00 90.00
Closest atoms and distances in Å follow each position.
Fractional coordinates of all 12 atoms:
K (0.7500, 0.8332, 0.7698)  4 O 2.74-2.80
K (0.2500, 0.1668, 0.2302)  4 O 2.74-2.80
In (0.2500, 0.6258, 0.1219)  5 O 2.17-2.25
In (0.7500, 0.3743, 0.8781)  5 O 2.17-2.25
O (0.7500, 0.8056, 0.2008)  1 Mn 2.10, 2 In 2.17
O (0.7500, 0.4125, 0.1064)  3 In 2.17-2.25
O (0.2500, 0.5875, 0.8936)  3 In 2.17-2.25
O (0.2500, 0.1944, 0.7992)  1 Mn 2.10, 2 In 2.17
O (0.7500, 0.1582, 0.4569)  3 Mn 2.03-2.20
O (0.2500, 0.8418, 0.5431)  3 Mn 2.03-2.20
Mn (0.7500, 0.8513, 0.4213)  4 O 2.03-2.20
Mn (0.2500, 0.1487, 0.5787)  4 O 2.03-2.20

Space group: P2_1/m
E in eV per atom: -5.825
DOS(E_F) in states/eV per atom: 0.0957